1.
Na2TbZr2Se6: optimized geometry, PBE-GGA.

```
Na2TbZr2Se6
1.0
3.390 -5.917 0.000
3.390 5.917 0.000
-2.231 0.000 7.191
Na Tb Zr Se
2 1 2 6
Cartesian
3.390 3.995 0.000
3.390 -3.995 0.000
-1.116 0.000 3.596
2.275 1.974 3.596
2.275 -1.974 3.596
0.057 2.052 5.208
1.257 0.000 1.982
0.057 -2.052 5.208
4.493 2.052 1.983
3.292 0.000 5.210
4.493 -2.052 1.983
```

=====

2.
Na3TbZr3Se8: optimized geometry, PBE-GGA.

```
Na3TbZr3Se8
1.0
3.900 2.252 7.156
-3.900 2.252 7.156
0.000 -4.503 7.156
Na Tb Zr Se
3 1 3 8
Cartesian
-1.950 -1.126 7.156
-1.950 1.126 14.312
0.000 2.252 7.156
0.000 0.000 10.734
-3.900 0.000 10.734
-1.950 1.126 3.578
1.950 1.126 3.578
-2.037 -1.176 12.361
0.000 0.000 5.189
0.000 -2.352 9.107
-2.037 1.176 9.107
2.037 -1.176 12.361
0.000 2.352 12.361
0.000 0.000 16.280
2.037 1.176 9.107
```

=====

3.
Na3TbZr2Se6: optimized geometry, PBE-GGA.

```
Na3TbZr2Se6
1.0
3.413 -5.915 0.000
3.413 5.915 0.000
-2.284 0.000 7.144
Na Tb Zr Se
3 1 2 6
Cartesian
0.000 0.000 0.000
3.413 1.927 0.000
3.413 -1.927 0.000
2.271 0.000 3.572
2.271 3.937 3.572
2.271 -3.937 3.572
1.091 2.045 1.938
-0.091 0.000 5.202
1.091 -2.045 1.938
3.451 2.045 5.206
4.633 0.000 1.942
3.451 -2.045 5.206
```

=====

4.
Na4TbZr3Se8: optimized geometry, PBE-GGA.

```
Na4TbZr3Se8
1.0
3.920 2.263 7.152
-3.920 2.263 7.152
0.000 -4.526 7.152
Na Tb Zr Se
4 1 3 8
Cartesian
0.000 0.000 0.000
-1.960 -1.132 7.152
-1.960 1.132 14.304
0.000 2.263 7.152
0.000 0.000 10.728
-3.920 0.000 10.728
-1.960 1.132 3.576
1.960 1.132 3.576
-2.018 -1.165 12.366
0.000 0.000 5.187
0.000 -2.330 9.089
-2.018 1.165 9.089
2.018 -1.165 12.366
0.000 2.330 12.366
0.000 0.000 16.269
2.018 1.165 9.089
```

=====

5.
Na3Tb3ZrSe8: optimized geometry, PBE-GGA.

```
Na3Tb3ZrSe8
1.0
4.098 2.366 7.084
-4.098 2.366 7.084
0.000 -4.732 7.084
Na Tb Zr Se
3 3 1 8
Cartesian
-2.049 -1.183 7.084
-2.049 1.183 14.168
0.000 2.366 7.084
-4.098 0.000 10.626
-2.049 1.183 3.542
2.049 1.183 3.542
0.000 0.000 10.626
0.000 0.000 5.180
-1.955 -1.129 12.194
0.000 -2.257 9.059
-1.955 1.129 9.059
1.955 -1.129 12.194
0.000 2.257 12.194
1.955 1.129 9.059
0.000 0.000 16.073
```

=====

6.
NaTcSe3: optimized geometry, PBE-GGA.

Excess energy over the best structure of this formula in the dataset, eV/atom: 1.511

```
NaTcSe3
1.0
4.896 0.000 0.000
0.000 4.896 0.000
0.000 0.000 4.896
Na Tc Se
1 1 3
Cartesian
0.000 0.000 0.000
2.448 2.448 2.448
0.000 0.000 2.448
0.000 2.448 0.000
2.448 0.000 0.000
```

=====

Number 1: E_form (uncorrected) -16.0 eV/f.u.. Number 2: E_form (uncorrected) -21.2 eV/f.u.. Number 3: E_form (uncorrected) -17.0 eV/f.u.. Number 4: E_form (uncorrected) -22.2 eV/f.u.. Number 5: E_form (uncorrected) -24.4 eV/f.u.. Number 6: E_form (uncorrected) 7.2 eV/f.u..